First-principles (PBE-GGA) data for a relaxed Tm2H4Se crystal, as listed in Alexandria via LeMat-Bulk.

The value obtained for the total energy is -4.66 eV/atom.

The space group is R-3m (No. 166, hexagonal axes) and the conventional cell measures 3.6891, 3.6891 and 21.1044 Å, with angles of 90.00, 90.00 and 120.00 degrees. The asymmetric unit holds Tm at (0.0000, 0.0000, 0.2405), H at (0.0000, 0.0000, 0.1377), H at (0.0000, 0.0000, 0.4344) and Se at (0.0000, 0.0000, 0.0000).

***

First-principles (PBE-GGA) data for a relaxed Li2ZrFe crystal, as listed in Alexandria via LeMat-Bulk.

The value obtained for the total energy is -4.87 eV/atom. The formation energy from the elements comes out at 1.35 eV per formula unit.

The space group is F-43m (No. 216) and the conventional cell measures 6.2883, 6.2883 and 6.2883 Å, with angles of 90.00, 90.00 and 90.00 degrees. The asymmetric unit holds Li at (0.0000, 0.0000, 0.0000), Li at (0.2500, 0.2500, 0.2500), Zr at (0.0000, 0.0000, 0.5000) and Fe at (0.2500, 0.2500, 0.7500).

***

First-principles (PBE-GGA) data for a relaxed Be2V2In crystal, as listed in Alexandria via LeMat-Bulk.

The value obtained for the total energy is -5.59 eV/atom. The formation energy from the elements comes out at 0.47 eV per formula unit.

The space group is P4/mbm (No. 127) and the conventional cell measures 6.2026, 6.2026 and 3.3159 Å, with angles of 90.00, 90.00 and 90.00 degrees. The asymmetric unit holds Be at (0.1151, 0.3849, 0.0000), V at (0.1704, 0.6704, 0.5000) and In at (0.0000, 0.0000, 0.0000).

***

First-principles (PBE-GGA) data for a relaxed Cd3Mo crystal, as listed in Alexandria via LeMat-Bulk.

The value obtained for the total energy is -2.88 eV/atom. The formation energy from the elements comes out at 2.04 eV per formula unit.

The space group is I4/mmm (No. 139) and the conventional cell measures 4.2031, 4.2031 and 8.9563 Å, with angles of 90.00, 90.00 and 90.00 degrees. The asymmetric unit holds Cd at (0.0000, 0.0000, 0.0000), Cd at (0.0000, 0.5000, 0.2500) and Mo at (0.0000, 0.0000, 0.5000).